# DyHo2TcO8

An optimized crystal structure of DyHo2TcO8 (PBE, Alexandria).

The structure belongs to space group Cmmm (No. 65); the cell edges are 7.079, 7.150 and 6.712 Å and the angles 90.00°, 90.00° and 90.00°. The inequivalent atoms are Dy at (0.000, 0.000, 0.000), Ho at (0.000, 0.500, 0.248), Tc at (0.000, 0.000, 0.500), O at (0.000, 0.183, 0.292), O at (0.192, 0.500, 0.000) and O at (0.231, 0.500, 0.500).

The calculated volume is 14.15 A^3/atom. The raw total energy comes out at -191.13 eV for the cell shown. The uncorrected formation energy is -2.648 eV per atom.